Entry 1:
HoTm2Ag (PBE, optimized geometry); relative energy among the computed polymorphs = 151 meV per atom; formation energy = 0.1 eV per formula unit
1.0
4.742 0.000 0.000
0.000 4.722 0.000
0.000 0.000 4.722
Tm Ho Ag
2 1 1
Cartesian
0.000 0.000 2.361
0.000 2.361 0.000
2.371 2.361 2.361
2.371 0.000 0.000



Entry 2:
HoTmAg5 (PBE, optimized geometry); formation energy = -0.4 eV per formula unit
1.0
-0.380 3.177 3.727
-4.742 -1.174 0.518
1.652 -4.796 4.256
Ho Tm Ag
1 1 5
Cartesian
0.826 -2.398 2.128
-2.561 1.001 2.123
-1.109 -4.248 3.508
-1.980 -1.722 1.266
1.072 -2.072 5.113
0.201 0.454 2.871
-1.734 -1.396 4.251



Entry 3:
YHo5Ag6 (PBE, optimized geometry); formation energy = -4.0 eV per formula unit
1.0
0.923 5.042 0.492
-3.203 -0.042 6.434
7.234 0.953 3.607
Y Ho Ag
1 5 6
Cartesian
0.000 0.000 0.000
3.843 3.974 5.953
2.724 1.997 1.369
-1.601 -0.021 3.217
5.433 3.997 2.731
1.111 1.979 4.580
0.795 4.485 6.433
2.386 4.506 3.238
-0.345 2.511 1.866
-1.935 2.490 5.060
2.568 1.447 7.296
4.159 1.467 4.101